VASP calculation (GGA-PBE) on ZrTiSi after structural relaxation.

Computed properties:
* magnetization: 0.0 μB per cell
* formation energy without anion corrections: -0.51 eV/atom
* space-group type: Amm2, No. 38
* mass density: 5.30 g/cm³

a b c (Å): 3.6155 7.1533 7.1533
angles (deg): 34.46 90.00 90.00
Last column: nearest neighbours and their distance in Å.
Positions (direct):
Zr 0.0000 0.0000 0.0000  6 Ti 2.79-2.92, 4 Si 2.91-2.92, 2 Zr 3.10
Zr 0.5000 0.1846 0.1846  6 Si 2.83-2.94, 2 Ti 2.92, 2 Zr 3.10
Ti 0.5000 0.4970 0.4970  4 Si 2.66-2.74, 4 Zr 2.79
Ti 0.5000 0.8317 0.8317  6 Si 2.80-3.10, 4 Zr 2.92, 2 Ti 3.10
Si 0.0000 0.3540 0.3540  6 Ti 2.66-2.80, 4 Zr 2.91-2.94
Si 0.0000 0.6473 0.6473  2 Ti 2.74, 6 Zr 2.83-2.92


VASP calculation (GGA-PBE) on Sm6BiAs3S2 after structural relaxation.

Computed properties:
* magnetization: 0.0 μB per cell
* formation energy without anion corrections: -1.57 eV/atom
* space-group type: C2/m, No. 12
* mass density: 7.31 g/cm³

a b c (Å): 9.4126 9.4126 8.4466
angles (deg): 102.94 102.94 25.89
Last column: nearest neighbours and their distance in Å.
Positions (direct):
Sm 0.0024 0.0024 0.2679  3 As 2.89-2.98, 1 S 2.99, 2 Bi 3.09
Sm 0.3260 0.3260 0.9129  3 As 2.89-3.00, 2 S 3.00, 1 Bi 3.11
Sm 0.3327 0.3327 0.4156  3 S 2.91-2.97, 3 As 2.97-2.99
Sm 0.6673 0.6673 0.5844  3 S 2.91-2.97, 3 As 2.97-2.99
Sm 0.6740 0.6740 0.0871  3 As 2.89-3.00, 2 S 3.00, 1 Bi 3.11
Sm 0.9976 0.9976 0.7321  3 As 2.89-2.98, 1 S 2.99, 2 Bi 3.09
Bi 0.5000 0.5000 0.0000  6 Sm 3.09-3.11
As 0.1644 0.1644 0.8308  6 Sm 2.89-3.00
As 0.5000 0.5000 0.5000  6 Sm 2.89-2.99
As 0.8356 0.8356 0.1692  6 Sm 2.89-3.00
S 0.1698 0.1698 0.3379  6 Sm 2.91-3.00
S 0.8302 0.8302 0.6621  6 Sm 2.91-3.00


VASP calculation (GGA-PBE) on Cs2PuInF6 after structural relaxation.

Computed properties:
* magnetization: 10.0 μB per cell
* formation energy without anion corrections: -2.87 eV/atom
* space-group type: P2_1/c, No. 14
* mass density: 5.13 g/cm³

a b c (Å): 6.9519 6.9978 12.0319
angles (deg): 90.00 125.26 90.00
Last column: nearest neighbours and their distance in Å.
Positions (direct):
Cs 0.2448 0.0301 0.2503  6 F 3.05-3.40
Cs 0.2448 0.4699 0.7503  6 F 3.05-3.40
Cs 0.7552 0.5301 0.2497  6 F 3.05-3.40
Cs 0.7552 0.9699 0.7497  6 F 3.05-3.40
Pu 0.5000 0.0000 0.0000  6 F 2.29-2.30
Pu 0.5000 0.5000 0.5000  6 F 2.29-2.30
In 0.0000 0.0000 0.5000  6 F 2.73-2.75
In 0.0000 0.5000 0.0000  6 F 2.73-2.75
F 0.2007 0.1917 0.9635  1 Pu 2.29
F 0.2007 0.3083 0.4635  1 Pu 2.29
F 0.2728 0.7359 0.9607  1 Pu 2.30
F 0.2728 0.7641 0.4607  1 Pu 2.30
F 0.3446 0.0277 0.7724  1 Pu 2.30
F 0.3446 0.4723 0.2724  1 Pu 2.30
F 0.6554 0.5277 0.7276  1 Pu 2.30
F 0.6554 0.9723 0.2276  1 Pu 2.30
F 0.7272 0.2359 0.5393  1 Pu 2.30
F 0.7272 0.2641 0.0393  1 Pu 2.30
F 0.7993 0.6917 0.5365  1 Pu 2.29
F 0.7993 0.8083 0.0365  1 Pu 2.29


VASP calculation (GGA-PBE) on Li5Pr3H12 after structural relaxation.

Computed properties:
* uncorrected energy: -3.63 eV/atom
* magnetization: 0.0 μB per cell
* space-group type: Ia-3d, No. 230
* mass density: 3.31 g/cm³

a b c (Å): 10.6997 10.6997 10.6997
angles (deg): 109.47 109.47 109.47
Last column: nearest neighbours and their distance in Å.
Positions (direct):
Li 0.0000 0.0000 0.0000  6 H 2.06
Li 0.0000 0.0000 0.5000  6 H 2.06
Li 0.0000 0.5000 0.0000  6 H 2.06
Li 0.0000 0.5000 0.5000  6 H 2.06
Li 0.1250 0.7500 0.8750  4 H 1.84
Li 0.1250 0.8750 0.2500  4 H 1.84
Li 0.2500 0.1250 0.8750  4 H 1.84
Li 0.2500 0.6250 0.3750  4 H 1.84
Li 0.3750 0.2500 0.6250  4 H 1.84
Li 0.3750 0.6250 0.7500  4 H 1.84
Li 0.5000 0.0000 0.0000  6 H 2.06
Li 0.5000 0.0000 0.5000  6 H 2.06
Li 0.5000 0.5000 0.0000  6 H 2.06
Li 0.5000 0.5000 0.5000  6 H 2.06
Li 0.6250 0.3750 0.2500  4 H 1.84
Li 0.6250 0.7500 0.3750  4 H 1.84
Li 0.7500 0.3750 0.6250  4 H 1.84
Li 0.7500 0.8750 0.1250  4 H 1.84
Li 0.8750 0.1250 0.7500  4 H 1.84
Li 0.8750 0.2500 0.1250  4 H 1.84
Pr 0.1250 0.2500 0.3750  8 H 2.36-2.41
Pr 0.1250 0.3750 0.7500  8 H 2.36-2.41
Pr 0.2500 0.3750 0.1250  8 H 2.36-2.41
Pr 0.2500 0.8750 0.6250  8 H 2.36-2.41
Pr 0.3750 0.1250 0.2500  8 H 2.36-2.41
Pr 0.3750 0.7500 0.1250  8 H 2.36-2.41
Pr 0.6250 0.2500 0.8750  8 H 2.36-2.41
Pr 0.6250 0.8750 0.7500  8 H 2.36-2.41
Pr 0.7500 0.1250 0.3750  8 H 2.36-2.41
Pr 0.7500 0.6250 0.8750  8 H 2.36-2.41
Pr 0.8750 0.6250 0.2500  8 H 2.36-2.41
Pr 0.8750 0.7500 0.6250  8 H 2.36-2.41
H 0.0311 0.2124 0.1248  2 Li 1.84-2.06
H 0.0311 0.3188 0.9063  2 Li 1.84-2.06
H 0.0876 0.7124 0.6812  2 Li 1.84-2.06
H 0.0876 0.8752 0.4063  2 Li 1.84-2.06
H 0.0937 0.6248 0.4124  2 Li 1.84-2.06
H 0.0937 0.9689 0.6812  2 Li 1.84-2.06
H 0.1248 0.0311 0.2124  2 Li 1.84-2.06
H 0.1248 0.5937 0.9124  2 Li 1.84-2.06
H 0.1812 0.2124 0.5876  2 Li 1.84-2.06
H 0.1812 0.4689 0.5937  2 Li 1.84-2.06
H 0.2124 0.1248 0.0311  2 Li 1.84-2.06
H 0.2124 0.5876 0.1812  2 Li 1.84-2.06
H 0.2876 0.3188 0.9124  2 Li 1.84-2.06
H 0.2876 0.4689 0.3752  2 Li 1.84-2.06
H 0.3188 0.9063 0.0311  2 Li 1.84-2.06
H 0.3188 0.9124 0.2876  2 Li 1.84-2.06
H 0.3752 0.2876 0.4689  2 Li 1.84-2.06
H 0.3752 0.5876 0.9063  2 Li 1.84-2.06
H 0.4063 0.0876 0.8752  2 Li 1.84-2.06
H 0.4063 0.8188 0.5311  2 Li 1.84-2.06
H 0.4124 0.0937 0.6248  2 Li 1.84-2.06
H 0.4124 0.8188 0.7876  2 Li 1.84-2.06
H 0.4689 0.3752 0.2876  2 Li 1.84-2.06
H 0.4689 0.5937 0.1812  2 Li 1.84-2.06
H 0.5311 0.4063 0.8188  2 Li 1.84-2.06
H 0.5311 0.6248 0.7124  2 Li 1.84-2.06
H 0.5876 0.1812 0.2124  2 Li 1.84-2.06
H 0.5876 0.9063 0.3752  2 Li 1.84-2.06
H 0.5937 0.1812 0.4689  2 Li 1.84-2.06
H 0.5937 0.9124 0.1248  2 Li 1.84-2.06
H 0.6248 0.4124 0.0937  2 Li 1.84-2.06
H 0.6248 0.7124 0.5311  2 Li 1.84-2.06
H 0.6812 0.0876 0.7124  2 Li 1.84-2.06
H 0.6812 0.0937 0.9689  2 Li 1.84-2.06
H 0.7124 0.5311 0.6248  2 Li 1.84-2.06
H 0.7124 0.6812 0.0876  2 Li 1.84-2.06
H 0.7876 0.4124 0.8188  2 Li 1.84-2.06
H 0.7876 0.8752 0.9689  2 Li 1.84-2.06
H 0.8188 0.5311 0.4063  2 Li 1.84-2.06
H 0.8188 0.7876 0.4124  2 Li 1.84-2.06
H 0.8752 0.4063 0.0876  2 Li 1.84-2.06
H 0.8752 0.9689 0.7876  2 Li 1.84-2.06
H 0.9063 0.0311 0.3188  2 Li 1.84-2.06
H 0.9063 0.3752 0.5876  2 Li 1.84-2.06
H 0.9124 0.1248 0.5937  2 Li 1.84-2.06
H 0.9124 0.2876 0.3188  2 Li 1.84-2.06
H 0.9689 0.6812 0.0937  2 Li 1.84-2.06
H 0.9689 0.7876 0.8752  2 Li 1.84-2.06


VASP calculation (GGA-PBE) on MgPdS after structural relaxation.

Computed properties:
* magnetization: 0.0 μB per cell
* formation energy without anion corrections: -0.69 eV/atom
* space-group type: Pnma, No. 62
* mass density: 5.25 g/cm³

a b c (Å): 6.0636 3.4443 9.8589
angles (deg): 90.00 90.00 90.00
Last column: nearest neighbours and their distance in Å.
Positions (direct):
Mg 0.2033 0.2500 0.1493  4 S 2.64-2.74, 4 Pd 2.79-2.93
Mg 0.2967 0.7500 0.6493  4 S 2.64-2.74, 4 Pd 2.79-2.93
Mg 0.7033 0.2500 0.3507  4 S 2.64-2.74, 4 Pd 2.79-2.93
Mg 0.7967 0.7500 0.8507  4 S 2.64-2.74, 4 Pd 2.79-2.93
Pd 0.1382 0.2500 0.4438  2 S 2.46, 2 Pd 2.65
Pd 0.3618 0.7500 0.9438  2 S 2.46, 2 Pd 2.65
Pd 0.6382 0.2500 0.0562  2 S 2.46, 2 Pd 2.65
Pd 0.8618 0.7500 0.5562  2 S 2.46, 2 Pd 2.65
S 0.1271 0.2500 0.8390  2 Pd 2.46, 4 Mg 2.64-2.74
S 0.3729 0.7500 0.3390  2 Pd 2.46, 4 Mg 2.64-2.74
S 0.6271 0.2500 0.6610  2 Pd 2.46, 4 Mg 2.64-2.74
S 0.8729 0.7500 0.1610  2 Pd 2.46, 4 Mg 2.64-2.74


VASP calculation (GGA-PBE) on Zr4AsOs after structural relaxation.

Computed properties:
* uncorrected energy: -7.86 eV/atom
* magnetization: 0.0 μB per cell
* space-group type: F-43m, No. 216
* mass density: 8.63 g/cm³

a b c (Å): 5.5549 5.5549 5.5549
angles (deg): 60.00 60.00 60.00
Last column: nearest neighbours and their distance in Å.
Positions (direct):
Zr 0.3759 0.3759 0.3759  6 Zr 2.76-2.80
Zr 0.3759 0.3759 0.8722  6 Zr 2.76-2.80
Zr 0.3759 0.8722 0.3759  6 Zr 2.76-2.80
Zr 0.8722 0.3759 0.3759  6 Zr 2.76-2.80
As 0.0000 0.0000 0.0000  12 Zr 3.26, 4 Os 3.40
Os 0.7500 0.7500 0.7500  12 Zr 3.25, 4 As 3.40


VASP calculation (GGA-PBE) on MgPaS2N after structural relaxation.

Computed properties:
* magnetization: 0.0 μB per cell
* formation energy without anion corrections: -1.64 eV/atom
* space-group type: P4/nmm, No. 129
* mass density: 6.29 g/cm³

a b c (Å): 3.7711 3.7711 12.3743
angles (deg): 90.00 90.00 90.00
Last column: nearest neighbours and their distance in Å.
Positions (direct):
Mg 0.2500 0.2500 0.0937  6 S 2.54-2.68
Mg 0.7500 0.7500 0.9063  6 S 2.54-2.68
Pa 0.2500 0.2500 0.6028  4 N 2.27
Pa 0.7500 0.7500 0.3972  4 N 2.27
S 0.2500 0.2500 0.2996  1 Mg 2.55
S 0.2500 0.2500 0.8885  5 Mg 2.54-2.68
S 0.7500 0.7500 0.1115  5 Mg 2.54-2.68
S 0.7500 0.7500 0.7004  1 Mg 2.55
N 0.2500 0.7500 0.5000  4 Pa 2.27
N 0.7500 0.2500 0.5000  4 Pa 2.27


VASP calculation (GGA-PBE) on TaRe4Br after structural relaxation.

Computed properties:
* magnetization: 0.0 μB per cell
* formation energy without anion corrections: 0.88 eV/atom
* space-group type: F-43m, No. 216
* mass density: 16.22 g/cm³

a b c (Å): 5.2611 5.2611 5.2611
angles (deg): 60.00 60.00 60.00
Last column: nearest neighbours and their distance in Å.
Positions (direct):
Ta 0.0000 0.0000 0.0000  12 Re 3.08, 4 Br 3.22
Re 0.3749 0.3749 0.3749  6 Re 2.63
Re 0.3749 0.3749 0.8754  6 Re 2.63
Re 0.3749 0.8754 0.3749  6 Re 2.63
Re 0.8754 0.3749 0.3749  6 Re 2.63
Br 0.7500 0.7500 0.7500  12 Re 3.08, 4 Ta 3.22


What did the seventh record say?
VASP calculation (GGA-PBE) on MgPaS2N after structural relaxation.

Computed properties:
* magnetization: 0.0 μB per cell
* formation energy without anion corrections: -1.64 eV/atom
* space-group type: P4/nmm, No. 129
* mass density: 6.29 g/cm³

a b c (Å): 3.7711 3.7711 12.3743
angles (deg): 90.00 90.00 90.00
Last column: nearest neighbours and their distance in Å.
Positions (direct):
Mg 0.2500 0.2500 0.0937  6 S 2.54-2.68
Mg 0.7500 0.7500 0.9063  6 S 2.54-2.68
Pa 0.2500 0.2500 0.6028  4 N 2.27
Pa 0.7500 0.7500 0.3972  4 N 2.27
S 0.2500 0.2500 0.2996  1 Mg 2.55
S 0.2500 0.2500 0.8885  5 Mg 2.54-2.68
S 0.7500 0.7500 0.1115  5 Mg 2.54-2.68
S 0.7500 0.7500 0.7004  1 Mg 2.55
N 0.2500 0.7500 0.5000  4 Pa 2.27
N 0.7500 0.2500 0.5000  4 Pa 2.27


Please write out number 6 again, unchanged.
VASP calculation (GGA-PBE) on Zr4AsOs after structural relaxation.

Computed properties:
* uncorrected energy: -7.86 eV/atom
* magnetization: 0.0 μB per cell
* space-group type: F-43m, No. 216
* mass density: 8.63 g/cm³

a b c (Å): 5.5549 5.5549 5.5549
angles (deg): 60.00 60.00 60.00
Last column: nearest neighbours and their distance in Å.
Positions (direct):
Zr 0.3759 0.3759 0.3759  6 Zr 2.76-2.80
Zr 0.3759 0.3759 0.8722  6 Zr 2.76-2.80
Zr 0.3759 0.8722 0.3759  6 Zr 2.76-2.80
Zr 0.8722 0.3759 0.3759  6 Zr 2.76-2.80
As 0.0000 0.0000 0.0000  12 Zr 3.26, 4 Os 3.40
Os 0.7500 0.7500 0.7500  12 Zr 3.25, 4 As 3.40